Density functional theory data (PBE-GGA) for a relaxed structure of Be2InIr2.

Cell lengths 6.6895, 6.6895, 2.8835 Å; angles 90.00, 90.00, 90.00 degrees
Fractional positions:
1 Be 0.1212 0.3788 0.0000
2 Be 0.3788 0.8788 0.0000
3 Be 0.6212 0.1212 0.0000
4 Be 0.8788 0.6212 0.0000
5 In 0.0000 0.0000 0.0000
6 In 0.5000 0.5000 0.0000
7 Ir 0.1648 0.6648 0.5000
8 Ir 0.3352 0.1648 0.5000
9 Ir 0.6648 0.8352 0.5000
10 Ir 0.8352 0.3352 0.5000

Summary:
Excess energy over the best structure of this formula in the dataset ... 0.0 kJ/mol of atoms
Theoretical density ... 13.3 g/cm3
DOS at the Fermi energy ... 1.7 states/eV/f.u.
Formation enthalpy at 0 K ... -0.34 eV per atom
E ... -5.920 eV/atom


Density functional theory data (PBE-GGA) for a relaxed structure of BeInIr2.

Cell lengths 2.9404, 4.3141, 4.7616 Å; angles 90.00, 90.00, 90.00 degrees
Fractional positions:
1 Be 0.0000 0.0000 0.0000
2 In 0.5000 0.0000 0.5000
3 Ir 0.0000 0.5000 0.5000
4 Ir 0.5000 0.5000 0.0000

Summary:
Theoretical density ... 14.0 g/cm3
DOS at the Fermi energy ... 2.1 states/eV/f.u.
Formation enthalpy at 0 K ... 0.19 eV per atom
E ... -5.861 eV/atom


E of number 2 (BeInIr2)?
-5.861 eV/atom


Repeat the first record exactly.
Density functional theory data (PBE-GGA) for a relaxed structure of Be2InIr2.

Cell lengths 6.6895, 6.6895, 2.8835 Å; angles 90.00, 90.00, 90.00 degrees
Fractional positions:
1 Be 0.1212 0.3788 0.0000
2 Be 0.3788 0.8788 0.0000
3 Be 0.6212 0.1212 0.0000
4 Be 0.8788 0.6212 0.0000
5 In 0.0000 0.0000 0.0000
6 In 0.5000 0.5000 0.0000
7 Ir 0.1648 0.6648 0.5000
8 Ir 0.3352 0.1648 0.5000
9 Ir 0.6648 0.8352 0.5000
10 Ir 0.8352 0.3352 0.5000

Summary:
Excess energy over the best structure of this formula in the dataset ... 0.0 kJ/mol of atoms
Theoretical density ... 13.3 g/cm3
DOS at the Fermi energy ... 1.7 states/eV/f.u.
Formation enthalpy at 0 K ... -0.34 eV per atom
E ... -5.920 eV/atom


Repeat the second record exactly.
Density functional theory data (PBE-GGA) for a relaxed structure of BeInIr2.

Cell lengths 2.9404, 4.3141, 4.7616 Å; angles 90.00, 90.00, 90.00 degrees
Fractional positions:
1 Be 0.0000 0.0000 0.0000
2 In 0.5000 0.0000 0.5000
3 Ir 0.0000 0.5000 0.5000
4 Ir 0.5000 0.5000 0.0000

Summary:
Theoretical density ... 14.0 g/cm3
DOS at the Fermi energy ... 2.1 states/eV/f.u.
Formation enthalpy at 0 K ... 0.19 eV per atom
E ... -5.861 eV/atom